1.
The following is a PBE-GGA calculation of a geometry-optimized LiNbNiHg structure, from the Open Quantum Materials Database.

Properties
Total magnetic moment: 0.01 Bohr magnetons per cell
Density: 9.59 g/cm3
Distance to the lowest polymorph of the same formula: 321 meV/atom

Cell: 6.2899 6.2899 6.2899 Å, 90.00 90.00 90.00°
Space group F-43m (No. 216)
One atom of each set of equivalent atoms:
Li 0.0000 0.0000 0.0000
Nb 0.2500 0.2500 0.7500
Ni 0.2500 0.2500 0.2500
Hg 0.0000 0.0000 0.5000

***

2.
The following is a PBE-GGA calculation of a geometry-optimized PrSmSO2 structure, from the Open Quantum Materials Database.

Properties
Total magnetic moment: 0.00 Bohr magnetons per cell
Density: 6.44 g/cm3
E_tot: -7.7861 eV/atom

Cell: 3.9478 3.9478 6.7884 Å, 90.00 90.00 120.00°
Space group P3m1 (No. 156)
One atom of each set of equivalent atoms:
Pr 0.0000 0.0000 0.0000
Sm 0.3333 0.6667 0.5597
S 0.6667 0.3333 0.2827
O 0.0000 0.0000 0.6443
O 0.3333 0.6667 0.9035

***

3.
The following is a PBE-GGA calculation of a geometry-optimized MgAgSnAu structure, from the Open Quantum Materials Database.

Properties
Density: 9.35 g/cm3
Distance to the lowest polymorph of the same formula: 0 meV/atom

Cell: 6.8258 6.8258 6.8258 Å, 90.00 90.00 90.00°
Space group F-43m (No. 216)
One atom of each set of equivalent atoms:
Mg 0.0000 0.0000 0.0000
Ag 0.2500 0.2500 0.2500
Sn 0.0000 0.0000 0.5000
Au 0.2500 0.2500 0.7500

***

4.
The following is a PBE-GGA calculation of a geometry-optimized TaTl2Zn structure, from the Open Quantum Materials Database.

Properties
Total magnetic moment: 6.71 Bohr magnetons per cell
Density: 12.14 g/cm3
E_tot: -3.5638 eV/atom

Cell: 7.1032 7.1032 7.1032 Å, 90.00 90.00 90.00°
Space group F-43m (No. 216)
One atom of each set of equivalent atoms:
Ta 0.0000 0.0000 0.0000
Tl 0.0000 0.0000 0.5000
Tl 0.2500 0.2500 0.7500
Zn 0.2500 0.2500 0.2500

***

5.
The following is a PBE-GGA calculation of a geometry-optimized CuTcBiIr structure, from the Open Quantum Materials Database.

Properties
Total magnetic moment: 0.09 Bohr magnetons per cell
Density: 14.03 g/cm3
Distance to the lowest polymorph of the same formula: 0 meV/atom

Cell: 6.4343 6.4343 6.4343 Å, 90.00 90.00 90.00°
Space group F-43m (No. 216)
One atom of each set of equivalent atoms:
Cu 0.0000 0.0000 0.0000
Tc 0.0000 0.0000 0.5000
Bi 0.2500 0.2500 0.2500
Ir 0.2500 0.2500 0.7500

***

6.
The following is a PBE-GGA calculation of a geometry-optimized BaLaCdSe3 structure, from the Open Quantum Materials Database.

Properties
Total magnetic moment: 0.05 Bohr magnetons per cell
Density: 5.68 g/cm3
E_tot: -4.4910 eV/atom

Cell: 4.5013 14.5653 11.1569 Å, 90.00 90.00 90.00°
Space group Cmcm (No. 63)
One atom of each set of equivalent atoms:
Ba 0.0000 0.2463 0.2500
La 0.0000 0.0000 0.0000
Cd 0.0000 0.4785 0.7500
Se 0.0000 0.0844 0.7500
Se 0.0000 0.3600 0.5645

***

7.
The following is a PBE-GGA calculation of a geometry-optimized TlReAg3S4 structure, from the Open Quantum Materials Database.

Properties
Total magnetic moment: 0.98 Bohr magnetons per cell
Density: 5.77 g/cm3
E_tot: -4.4038 eV/atom

Cell: 6.2370 6.2370 6.2370 Å, 90.00 90.00 90.00°
Space group P-43m (No. 215)
One atom of each set of equivalent atoms:
Tl 0.0000 0.0000 0.0000
Re 0.5000 0.5000 0.5000
Ag 0.0000 0.5000 0.5000
S 0.2868 0.2868 0.2868

***

8.
The following is a PBE-GGA calculation of a geometry-optimized La2SiAg2Ge structure, from the Open Quantum Materials Database.

Properties
Total magnetic moment: 0.00 Bohr magnetons per cell
Density: 6.87 g/cm3
Distance to the lowest polymorph of the same formula: 0 meV/atom

Cell: 4.5604 4.5604 7.9780 Å, 90.00 90.00 120.00°
Space group P3m1 (No. 156)
One atom of each set of equivalent atoms:
La 0.0000 0.0000 0.0000
La 0.0000 0.0000 0.4976
Si 0.6667 0.3333 0.2801
Ag 0.3333 0.6667 0.2376
Ag 0.6667 0.3333 0.7345
Ge 0.3333 0.6667 0.7827

***

9.
The following is a PBE-GGA calculation of a geometry-optimized Ga2CuIr structure, from the Open Quantum Materials Database.

Properties
Total magnetic moment: 0.01 Bohr magnetons per cell
Density: 11.44 g/cm3
E_tot: -4.6308 eV/atom

Cell: 6.1223 6.1223 6.1223 Å, 90.00 90.00 90.00°
Space group F-43m (No. 216)
One atom of each set of equivalent atoms:
Ga 0.0000 0.0000 0.0000
Ga 0.2500 0.2500 0.2500
Cu 0.2500 0.2500 0.7500
Ir 0.0000 0.0000 0.5000

***

10.
The following is a PBE-GGA calculation of a geometry-optimized Sm2Dy2BBr3Cl2 structure, from the Open Quantum Materials Database.

Properties
Total magnetic moment: 0.00 Bohr magnetons per cell
Density: 5.62 g/cm3
E_tot: -4.9178 eV/atom

Cell: 18.0218 3.9207 8.1407 Å, 90.00 103.26 90.00°
Space group C2/m (No. 12)
One atom of each set of equivalent atoms:
Sm 0.1452 0.0000 0.0828
Dy 0.9997 0.5000 0.2088
B 0.0000 0.0000 0.0000
Br 0.0000 0.0000 0.5000
Br 0.1695 0.5000 0.8238
Cl 0.1567 0.5000 0.3319

***

11.
The following is a PBE-GGA calculation of a geometry-optimized TmGeW structure, from the Open Quantum Materials Database.

Properties
Total magnetic moment: 1.32 Bohr magnetons per cell
Density: 11.29 g/cm3
Distance to the lowest polymorph of the same formula: 0 meV/atom

Cell: 6.3027 6.3027 6.3027 Å, 90.00 90.00 90.00°
Space group F-43m (No. 216)
One atom of each set of equivalent atoms:
Tm 0.0000 0.0000 0.0000
Ge 0.2500 0.2500 0.2500
W 0.0000 0.0000 0.5000

***

12.
The following is a PBE-GGA calculation of a geometry-optimized ZrBeCoSi structure, from the Open Quantum Materials Database.

Properties
Total magnetic moment: 0.17 Bohr magnetons per cell
Density: 5.97 g/cm3
Distance to the lowest polymorph of the same formula: 0 meV/atom

Cell: 5.9272 5.9272 5.9272 Å, 90.00 90.00 90.00°
Space group F-43m (No. 216)
One atom of each set of equivalent atoms:
Zr 0.0000 0.0000 0.0000
Be 0.2500 0.2500 0.2500
Co 0.2500 0.2500 0.7500
Si 0.0000 0.0000 0.5000

***

- Number 10 is which compound?
  Sm2Dy2BBr3Cl2

***

- Which of these has the lowest density?
  Sm2Dy2BBr3Cl2

***

Repeat the first record exactly.
The following is a PBE-GGA calculation of a geometry-optimized LiNbNiHg structure, from the Open Quantum Materials Database.

Properties
Total magnetic moment: 0.01 Bohr magnetons per cell
Density: 9.59 g/cm3
Distance to the lowest polymorph of the same formula: 321 meV/atom

Cell: 6.2899 6.2899 6.2899 Å, 90.00 90.00 90.00°
Space group F-43m (No. 216)
One atom of each set of equivalent atoms:
Li 0.0000 0.0000 0.0000
Nb 0.2500 0.2500 0.7500
Ni 0.2500 0.2500 0.2500
Hg 0.0000 0.0000 0.5000